A relaxed structure of SmCu9Pd2. Source: the Alexandria database, functional PBE-GGA.

Lattice parameters (Å, degrees): 4.9718 4.9718 23.7113 90.00 90.00 120.00
Space group R-3m (No. 166, hexagonal axes)
Asymmetric unit:
1 Sm 0.0000 0.0000 0.0000 (multiplicity 3)
2 Cu 0.0000 0.0000 0.3341 (multiplicity 6)
3 Cu 0.0000 0.0000 0.5000 (multiplicity 3)
4 Cu 0.0057 0.5029 0.9134 (multiplicity 18)
5 Pd 0.0000 0.0000 0.1453 (multiplicity 6)

## Properties
**Formation energy**: -0.1543 eV per atom
**Magnetic moment**: 0.00 μB/f.u.